Density functional theory data (PBE+U) for a relaxed Pm2FeNiO5 crystal.

a b c (Å): 6.7254 6.7254 5.5103
angles (deg): 90.00 90.00 90.00
With the nearest neighbours (Å) after each atom.
Fractional coordinates of all 18 atoms:
Pm: 0.1769 0.3231 0.0000  8 O 2.31-2.54
Pm: 0.3231 0.8231 0.0000  8 O 2.31-2.54
Pm: 0.6769 0.1769 0.0000  8 O 2.31-2.54
Pm: 0.8231 0.6769 0.0000  8 O 2.31-2.54
Fe: 0.0000 0.5000 0.5000  4 O 1.83
Fe: 0.5000 0.0000 0.5000  4 O 1.83
Ni: 0.0000 0.0000 0.5000  10 O 2.76-2.95
Ni: 0.5000 0.5000 0.5000  10 O 2.76-2.95
O: 0.0000 0.0000 0.0000  4 Pm 2.48, 2 Ni 2.76
O: 0.1318 0.6318 0.2587  1 Fe 1.83
O: 0.1318 0.6318 0.7413  1 Fe 1.83
O: 0.3682 0.1318 0.2587  1 Fe 1.83
O: 0.3682 0.1318 0.7413  1 Fe 1.83
O: 0.5000 0.5000 0.0000  4 Pm 2.48, 2 Ni 2.76
O: 0.6318 0.8682 0.2587  1 Fe 1.83
O: 0.6318 0.8682 0.7413  1 Fe 1.83
O: 0.8682 0.3682 0.2587  1 Fe 1.83
O: 0.8682 0.3682 0.7413  1 Fe 1.83

magnetization = 0.0 μB per formula unit
raw total energy = -6.61 eV per atom
V = 13.8 Å³ per atom